Entry 1:
# CdAuO2, optimized geometry, DFT PBE
data_CdAuO2
_space_group_name_H-M_alt 'P 1'
_space_group_IT_number 1
_cell_length_a 5.9084
_cell_length_b 5.9084
_cell_length_c 5.3770
_cell_angle_alpha 56.67
_cell_angle_beta 56.67
_cell_angle_gamma 90.00
loop_
_space_group_symop_operation_xyz
'x,y,z'
loop_
_atom_site_label
_atom_site_fract_x
_atom_site_fract_y
_atom_site_fract_z
_atom_site_occupancy
O1 0.8750 0.8782 0.7500 1
Au1 0.0000 0.0000 0.0000 1
O2 0.6282 0.1250 0.2500 1
O3 0.1218 0.6250 0.2500 1
O4 0.3750 0.3718 0.7500 1
Cd1 0.5000 0.5000 0.0000 1
Au2 0.7500 0.2500 0.5000 1
Cd2 0.2500 0.7500 0.5000 1
# Formation energy (no corrections): -0.1842 eV per atom

=====

Entry 2:
# CdAuO3, optimized geometry, DFT PBE
data_CdAuO3
_space_group_name_H-M_alt 'P 1'
_space_group_IT_number 1
_cell_length_a 4.0300
_cell_length_b 4.0300
_cell_length_c 4.0300
_cell_angle_alpha 90.00
_cell_angle_beta 90.00
_cell_angle_gamma 90.00
loop_
_space_group_symop_operation_xyz
'x,y,z'
loop_
_atom_site_label
_atom_site_fract_x
_atom_site_fract_y
_atom_site_fract_z
_atom_site_occupancy
O1 0.5000 0.0000 0.0000 1
O2 0.0000 0.0000 0.5000 1
O3 0.0000 0.5000 0.0000 1
Cd1 0.5000 0.5000 0.5000 1
Au1 0.0000 0.0000 0.0000 1
# Formation energy (no corrections): 0.1037 eV per atom

=====

Entry 3:
# CdAu3O, optimized geometry, DFT PBE
data_CdAu3O
_space_group_name_H-M_alt 'P 1'
_space_group_IT_number 1
_cell_length_a 4.5588
_cell_length_b 4.5588
_cell_length_c 4.5588
_cell_angle_alpha 90.00
_cell_angle_beta 90.00
_cell_angle_gamma 90.00
loop_
_space_group_symop_operation_xyz
'x,y,z'
loop_
_atom_site_label
_atom_site_fract_x
_atom_site_fract_y
_atom_site_fract_z
_atom_site_occupancy
Au1 0.0000 0.5000 0.0000 1
Au2 0.0000 0.0000 0.5000 1
O1 0.0000 0.0000 0.0000 1
Au3 0.5000 0.0000 0.0000 1
Cd1 0.5000 0.5000 0.5000 1
# Energy above the most stable polymorph in this dataset: 0 meV per atom
# Formation energy (no corrections): 0.2977 eV per atom

=====

Entry 4:
# Cd3AuO4, optimized geometry, DFT PBE
data_Cd3AuO4
_space_group_name_H-M_alt 'P 1'
_space_group_IT_number 1
_cell_length_a 4.6852
_cell_length_b 6.6721
_cell_length_c 8.1108
_cell_angle_alpha 90.00
_cell_angle_beta 90.00
_cell_angle_gamma 90.00
loop_
_space_group_symop_operation_xyz
'x,y,z'
loop_
_atom_site_label
_atom_site_fract_x
_atom_site_fract_y
_atom_site_fract_z
_atom_site_occupancy
Cd1 0.5644 0.3357 0.7284 1
Cd2 0.0644 0.6643 0.2284 1
O1 0.5645 0.2321 0.0000 1
O2 0.0644 0.3090 0.2569 1
Cd3 0.5644 0.3357 0.2716 1
Cd4 0.0643 0.1093 0.5000 1
O3 0.0644 0.3090 0.7431 1
O4 0.0644 0.8419 0.0000 1
O5 0.5644 0.6910 0.7569 1
Au1 0.0645 0.2702 0.0000 1
Cd5 0.5643 0.8907 0.0000 1
O6 0.5644 0.1581 0.5000 1
O7 0.0645 0.7679 0.5000 1
Cd6 0.0644 0.6643 0.7716 1
Au2 0.5645 0.7298 0.5000 1
O8 0.5644 0.6910 0.2431 1
# Formation energy (no corrections): -0.6754 eV per atom

=====

Entry 5:
# CdAu2O, optimized geometry, DFT PBE
data_CdAu2O
_space_group_name_H-M_alt 'P 1'
_space_group_IT_number 1
_cell_length_a 4.5277
_cell_length_b 4.5277
_cell_length_c 4.5277
_cell_angle_alpha 60.00
_cell_angle_beta 60.00
_cell_angle_gamma 60.00
loop_
_space_group_symop_operation_xyz
'x,y,z'
loop_
_atom_site_label
_atom_site_fract_x
_atom_site_fract_y
_atom_site_fract_z
_atom_site_occupancy
Au1 0.2500 0.2500 0.2500 1
Cd1 0.5000 0.5000 0.5000 1
O1 0.0000 0.0000 0.0000 1
Au2 0.7500 0.7500 0.7500 1
# Energy above the most stable polymorph in this dataset: 30 meV per atom
# Formation energy (no corrections): 0.2185 eV per atom

=====

Entry 6:
# Cd2AuO2, optimized geometry, DFT PBE
data_Cd2AuO2
_space_group_name_H-M_alt 'P 1'
_space_group_IT_number 1
_cell_length_a 7.1005
_cell_length_b 7.1005
_cell_length_c 2.9349
_cell_angle_alpha 90.00
_cell_angle_beta 90.00
_cell_angle_gamma 90.00
loop_
_space_group_symop_operation_xyz
'x,y,z'
loop_
_atom_site_label
_atom_site_fract_x
_atom_site_fract_y
_atom_site_fract_z
_atom_site_occupancy
O1 0.8537 0.3537 0.5000 1
Au1 0.0000 0.0000 0.0000 1
O2 0.6463 0.8537 0.5000 1
Cd1 0.6434 0.1434 0.0000 1
Au2 0.5000 0.5000 0.0000 1
O3 0.3537 0.1463 0.5000 1
Cd2 0.3566 0.8566 0.0000 1
Cd3 0.8566 0.6434 0.0000 1
Cd4 0.1434 0.3566 0.0000 1
O4 0.1463 0.6463 0.5000 1
# Energy above the most stable polymorph in this dataset: 29 meV per atom
# Formation energy (no corrections): -0.2251 eV per atom

=====

Entry 7:
# CdAuO3, optimized geometry, DFT PBE
data_CdAuO3
_space_group_name_H-M_alt 'P 1'
_space_group_IT_number 1
_cell_length_a 4.1278
_cell_length_b 4.1278
_cell_length_c 4.1278
_cell_angle_alpha 90.00
_cell_angle_beta 90.00
_cell_angle_gamma 90.00
loop_
_space_group_symop_operation_xyz
'x,y,z'
loop_
_atom_site_label
_atom_site_fract_x
_atom_site_fract_y
_atom_site_fract_z
_atom_site_occupancy
O1 0.0000 0.0000 0.5000 1
O2 0.0000 0.5000 0.0000 1
O3 0.5000 0.0000 0.0000 1
Au1 0.5000 0.5000 0.5000 1
Cd1 0.0000 0.0000 0.0000 1
# Formation energy (no corrections): 0.6355 eV per atom

=====

Entry 8:
# CdAu3O, optimized geometry, DFT PBE
data_CdAu3O
_space_group_name_H-M_alt 'P 1'
_space_group_IT_number 1
_cell_length_a 5.1708
_cell_length_b 5.1708
_cell_length_c 5.1708
_cell_angle_alpha 90.00
_cell_angle_beta 90.00
_cell_angle_gamma 90.00
loop_
_space_group_symop_operation_xyz
'x,y,z'
loop_
_atom_site_label
_atom_site_fract_x
_atom_site_fract_y
_atom_site_fract_z
_atom_site_occupancy
Au1 0.0000 0.5000 0.0000 1
Au2 0.0000 0.0000 0.5000 1
O1 0.5000 0.5000 0.5000 1
Au3 0.5000 0.0000 0.0000 1
Cd1 0.0000 0.0000 0.0000 1
# Energy above the most stable polymorph in this dataset: 1008 meV per atom
# Formation energy (no corrections): 1.3055 eV per atom

=====

Entry 9:
# Cd3AuO3, optimized geometry, DFT PBE
data_Cd3AuO3
_space_group_name_H-M_alt 'P 1'
_space_group_IT_number 1
_cell_length_a 3.7605
_cell_length_b 8.9691
_cell_length_c 8.9691
_cell_angle_alpha 120.00
_cell_angle_beta 90.00
_cell_angle_gamma 90.00
loop_
_space_group_symop_operation_xyz
'x,y,z'
loop_
_atom_site_label
_atom_site_fract_x
_atom_site_fract_y
_atom_site_fract_z
_atom_site_occupancy
Cd1 0.7500 0.9130 0.3219 1
O1 0.7500 0.6705 0.0681 1
Cd2 0.7500 0.4089 0.0870 1
Cd3 0.2500 0.3219 0.4089 1
O2 0.2500 0.3295 0.9319 1
O3 0.7500 0.3975 0.3295 1
O4 0.2500 0.6025 0.6705 1
Au1 0.2500 0.6667 0.3333 1
Cd4 0.2500 0.5911 0.9130 1
O5 0.7500 0.9319 0.6025 1
O6 0.2500 0.0681 0.3975 1
Cd5 0.7500 0.6781 0.5911 1
Cd6 0.2500 0.0870 0.6781 1
Au2 0.7500 0.3333 0.6667 1
# Formation energy (no corrections): -0.5845 eV per atom

=====

Entry 10:
# CdAuO3, optimized geometry, DFT PBE
data_CdAuO3
_space_group_name_H-M_alt 'P 1'
_space_group_IT_number 1
_cell_length_a 6.0855
_cell_length_b 6.3208
_cell_length_c 7.0101
_cell_angle_alpha 92.69
_cell_angle_beta 90.00
_cell_angle_gamma 90.00
loop_
_space_group_symop_operation_xyz
'x,y,z'
loop_
_atom_site_label
_atom_site_fract_x
_atom_site_fract_y
_atom_site_fract_z
_atom_site_occupancy
Cd1 0.8034 0.3975 0.3319 1
Cd2 0.6966 0.3975 0.8319 1
O1 0.4256 0.0870 0.1620 1
Cd3 0.1966 0.6025 0.6681 1
O2 0.0744 0.0870 0.6620 1
O3 0.3318 0.3927 0.8871 1
O4 0.5744 0.9130 0.8380 1
O5 0.3901 0.7964 0.4617 1
O6 0.1682 0.3927 0.3871 1
Au1 0.2652 0.0895 0.4194 1
O7 0.8901 0.2036 0.0383 1
Au2 0.7652 0.9105 0.0806 1
Au3 0.2348 0.0895 0.9194 1
O8 0.9256 0.9130 0.3380 1
Cd4 0.3034 0.6025 0.1681 1
O9 0.6099 0.2036 0.5383 1
O10 0.1099 0.7964 0.9617 1
O11 0.6682 0.6073 0.1129 1
O12 0.8318 0.6073 0.6129 1
Au4 0.7348 0.9105 0.5806 1
# Formation energy (no corrections): -0.3265 eV per atom

=====

| no. | total magnetization (μB/cell) |
| --- | --- |
| 1 | 1.8 |
| 2 | 0.0 |
| 3 | 0.0 |
| 4 | 0.0 |
| 5 | 0.0 |
| 6 | 0.0 |
| 7 | 2.0 |
| 8 | 0.0 |
| 9 | 0.0 |
| 10 | 0.0 |